Record 1
Compound: PrHoGaGe
Source: the Alexandria database
Functional: PBE
Structure: relaxed

Results
DFT total energy ... -4.8059 eV/atom
E_form ... -0.56 eV/atom
Excess energy over the best structure of this formula in the dataset ... 0.197 eV per atom
DOS(E_F) ... 0.57 states/eV/atom

a = 5.155 Å, b = 5.155 Å, c = 5.155 Å
α = 60.00°, β = 60.00°, γ = 60.00°
Positions (direct):
Pr 0.000 0.000 0.000
Ho 0.500 0.500 0.500
Ga 0.750 0.750 0.750
Ge 0.250 0.250 0.250

---

Record 2
Compound: In2Tc2Au
Source: the Alexandria database
Functional: PBE
Structure: relaxed

Results
DFT total energy ... -5.6421 eV/atom
E_form ... 0.26 eV/atom
Excess energy over the best structure of this formula in the dataset ... 0.000 eV per atom
DOS(E_F) ... 1.10 states/eV/atom

a = 6.844 Å, b = 6.844 Å, c = 4.113 Å
α = 90.00°, β = 90.00°, γ = 90.00°
Positions (direct):
In 0.178 0.322 0.000
In 0.322 0.822 0.000
In 0.678 0.178 0.000
In 0.822 0.678 0.000
Tc 0.119 0.619 0.500
Tc 0.381 0.119 0.500
Tc 0.619 0.881 0.500
Tc 0.881 0.381 0.500
Au 0.000 0.000 0.500
Au 0.500 0.500 0.500

---

Record 3
Compound: CeHo2P
Source: the Alexandria database
Functional: PBE
Structure: relaxed

Results
DFT total energy ... -5.5916 eV/atom
E_form ... -0.47 eV/atom
DOS(E_F) ... 1.87 states/eV/atom

a = 10.416 Å, b = 10.416 Å, c = 10.416 Å
α = 20.36°, β = 20.36°, γ = 20.36°
Positions (direct):
Ce 0.000 0.000 0.000
Ho 0.113 0.113 0.113
Ho 0.887 0.887 0.887
P 0.500 0.500 0.500

---

Record 4
Compound: TaHg2Te
Source: the Alexandria database
Functional: PBE
Structure: relaxed

Results
Formation energy from raw total energies ... 0.586 eV per atom
DFT total energy ... -3.3137 eV/atom
DOS(E_F) ... 0.56 states/eV/atom

a = 3.959 Å, b = 3.959 Å, c = 5.753 Å
α = 90.00°, β = 90.00°, γ = 90.00°
Positions (direct):
Ta 0.000 0.000 0.000
Hg 0.500 0.500 0.238
Hg 0.500 0.500 0.762
Te 0.000 0.000 0.500